Entry 1:
First-principles (PBE) data for a relaxed structure of Ac3Mg2Hg6, as listed in Alexandria via LeMat-Bulk.

Properties
Energy of formation: -0.330 eV per atom

Cell: 4.833 4.833 27.460 Å, 90.00 90.00 90.00°
Space group I4/mmm (No. 139)
Asymmetric unit:
Ac: 0.000 0.000 0.000 x2
Ac: 0.000 0.000 0.197 x4
Mg: 0.000 0.000 0.447 x4
Hg: 0.000 0.000 0.320 x4
Hg: 0.000 0.500 0.104 x8


Entry 2:
First-principles (PBE) data for a relaxed structure of Ac6Mg5Hg, as listed in Alexandria via LeMat-Bulk.

Properties
Energy of formation: -0.143 eV per atom

Cell: 5.794 8.211 9.162 Å, 90.00 108.27 90.00°
Space group P2/m (No. 10)
Asymmetric unit:
Ac: 0.000 0.247 0.000 x2
Ac: 0.335 0.250 0.670 x4
Mg: 0.168 0.500 0.335 x2
Mg: 0.172 0.000 0.344 x2
Mg: 0.500 0.500 0.000 x1
Hg: 0.500 0.000 0.000 x1


Entry 3:
First-principles (PBE) data for a relaxed structure of Ac2Mg5Hg3, as listed in Alexandria via LeMat-Bulk.

Properties
Energy of formation: -0.299 eV per atom

Cell: 4.931 28.175 7.669 Å, 90.00 90.00 90.00°
Space group Cmc2_1 (No. 36)
Asymmetric unit:
Ac: 0.000 0.017 0.000 x4
Ac: 0.000 0.325 0.970 x4
Mg: 0.000 0.102 0.665 x4
Mg: 0.000 0.207 0.160 x4
Mg: 0.000 0.208 0.776 x4
Mg: 0.000 0.371 0.477 x4
Mg: 0.000 0.444 0.815 x4
Hg: 0.000 0.110 0.270 x4
Hg: 0.000 0.268 0.468 x4
Hg: 0.000 0.451 0.210 x4


Entry 4:
First-principles (PBE) data for a relaxed structure of Ac3Mg8Hg3, as listed in Alexandria via LeMat-Bulk.

Properties
Energy of formation: -0.232 eV per atom

Cell: 17.733 5.124 10.033 Å, 90.00 123.35 90.00°
Space group C2/m (No. 12)
Asymmetric unit:
Ac: 0.000 0.000 0.000 x2
Ac: 0.218 0.500 0.716 x4
Mg: 0.003 0.500 0.334 x4
Mg: 0.133 0.000 0.838 x4
Mg: 0.140 0.000 0.431 x4
Mg: 0.157 0.500 0.014 x4
Hg: 0.000 0.000 0.500 x2
Hg: 0.154 0.500 0.298 x4